Crystalline K2AcFeO4 at its relaxed geometry. Source: Alexandria, functional PBE+U.

Unit cell a=10.155 b=9.857 c=7.443 alpha=90.00 beta=131.45 gamma=90.00
Space group C2/c (No. 15)
Asymmetric unit:
K (0.000, 0.000, 0.000) x4
K (0.250, 0.250, 0.000) x4
Ac (0.250, 0.250, 0.500) x4
Fe (0.000, 0.500, 0.000) x4
O (0.017, 0.289, 0.048) x8
O (0.210, 0.494, 0.536) x8

## Properties
The calculation puts the magnetization at 20.1 μB/cell. Its volume is 17.45 Å³/atom. The calculation puts the total energy at -5.8259 eV per atom.